{"formula": "SmHo4Hg", "functional": "PBE-GGA", "state": "optimized geometry", "cell": [[6.295, -0.712, 0.000], [-2.539, 8.580, 0.000], [-1.878, -3.934, 6.951]], "species": ["Ho", "Ho", "Ho", "Ho", "Ho", "Ho", "Ho", "Ho", "Sm", "Sm", "Hg", "Hg"], "fractional_positions": [[0.773, 0.400, 0.237], [0.037, 0.163, 0.763], [0.227, 0.600, 0.763], [0.366, 0.911, 0.624], [0.241, 0.287, 0.376], [0.634, 0.089, 0.376], [0.963, 0.837, 0.237], [0.759, 0.713, 0.624], [0.345, 0.595, 0.190], [0.655, 0.405, 0.810], [0.749, 0.999, 0.999], [0.251, 0.001, 0.001]], "m_tot_mub_per_fu": 0.00, "volume_a3_per_cell": 363, "n_ef_per_ev_atom": 1.39, "formation_enthalpy_0k_ev_per_atom": -0.05, "relative_energy_mev_per_atom": 95}


{"formula": "CaO2F", "functional": "PBE-GGA", "state": "optimized geometry", "cell": [[-2.942, -0.996, 2.828], [0.327, 1.036, 4.058], [-2.469, 2.883, 1.800]], "species": ["F", "Ca", "O", "O"], "fractional_positions": [[0.500, 0.500, 0.500], [0.000, 0.000, 0.000], [0.223, 0.223, 0.223], [0.777, 0.777, 0.777]], "m_tot_mub_per_fu": 3.00, "volume_a3_per_cell": 49, "n_ef_per_ev_atom": 0.55, "e_form_raw_kj_per_mol_atoms": -107.3, "relative_energy_mev_per_atom": 943}


{"formula": "Ce2TlPd", "functional": "PBE-GGA", "state": "optimized geometry", "cell": [[3.431, 0.000, 0.000], [0.000, 3.431, 0.000], [0.000, 0.000, 8.636]], "species": ["Tl", "Ce", "Ce", "Pd"], "fractional_positions": [[0.500, 0.500, 0.500], [0.000, 0.000, 0.782], [0.000, 0.000, 0.218], [0.500, 0.500, 0.000]], "m_tot_mub_per_fu": 1.95, "volume_a3_per_cell": 102, "n_ef_per_ev_atom": 2.73, "formation_enthalpy_0k_ev_per_atom": -0.43}


{"formula": "Nd12Ge3O5", "functional": "PBE-GGA", "state": "optimized geometry", "cell": [[13.736, 0.000, 0.000], [-4.579, 12.950, 0.000], [-4.579, -6.475, 11.215]], "species": ["Ge", "Ge", "Ge", "Ge", "Ge", "Ge", "Ge", "Ge", "Ge", "Ge", "Ge", "Ge", "O", "O", "O", "O", "O", "O", "O", "O", "O", "O", "O", "O", "O", "O", "O", "O", "O", "O", "O", "O", "Nd", "Nd", "Nd", "Nd", "Nd", "Nd", "Nd", "Nd", "Nd", "Nd", "Nd", "Nd", "Nd", "Nd", "Nd", "Nd", "Nd", "Nd", "Nd", "Nd", "Nd", "Nd", "Nd", "Nd", "Nd", "Nd", "Nd", "Nd", "Nd", "Nd", "Nd", "Nd", "Nd", "Nd", "Nd", "Nd", "Nd", "Nd", "Nd", "Nd", "Nd", "Nd", "Nd", "Nd", "Nd", "Nd", "Nd", "Nd"], "fractional_positions": [[0.875, 0.125, 0.250], [0.750, 0.375, 0.125], [0.375, 0.750, 0.625], [0.375, 0.625, 0.250], [0.750, 0.875, 0.625], [0.125, 0.875, 0.750], [0.125, 0.250, 0.875], [0.250, 0.625, 0.875], [0.875, 0.750, 0.125], [0.625, 0.375, 0.750], [0.625, 0.250, 0.375], [0.250, 0.125, 0.375], [0.000, 0.500, 0.500], [0.375, 0.125, 0.750], [0.625, 0.875, 0.250], [0.875, 0.625, 0.750], [0.500, 0.000, 0.500], [0.750, 0.625, 0.375], [0.500, 0.000, 0.000], [0.000, 0.500, 0.000], [0.250, 0.375, 0.625], [0.125, 0.750, 0.375], [0.000, 0.000, 0.000], [0.500, 0.500, 0.500], [0.625, 0.750, 0.875], [0.125, 0.375, 0.250], [0.375, 0.250, 0.125], [0.875, 0.250, 0.625], [0.000, 0.000, 0.500], [0.500, 0.500, 0.000], [0.250, 0.875, 0.125], [0.750, 0.125, 0.875], [0.614, 0.018, 0.203], [0.096, 0.185, 0.482], [0.703, 0.114, 0.018], [0.096, 0.911, 0.114], [0.315, 0.518, 0.404], [0.886, 0.297, 0.482], [0.982, 0.596, 0.185], [0.797, 0.315, 0.911], [0.815, 0.904, 0.018], [0.404, 0.018, 0.315], [0.297, 0.411, 0.815], [0.297, 0.886, 0.982], [0.596, 0.614, 0.411], [0.911, 0.096, 0.614], [0.886, 0.589, 0.904], [0.203, 0.518, 0.614], [0.904, 0.815, 0.518], [0.114, 0.703, 0.518], [0.114, 0.411, 0.096], [0.315, 0.797, 0.411], [0.904, 0.089, 0.886], [0.911, 0.815, 0.797], [0.089, 0.904, 0.386], [0.589, 0.703, 0.685], [0.185, 0.096, 0.982], [0.518, 0.315, 0.904], [0.482, 0.685, 0.096], [0.089, 0.185, 0.203], [0.386, 0.982, 0.797], [0.404, 0.386, 0.589], [0.614, 0.596, 0.911], [0.482, 0.797, 0.886], [0.018, 0.614, 0.703], [0.982, 0.386, 0.297], [0.185, 0.089, 0.703], [0.589, 0.886, 0.404], [0.386, 0.404, 0.089], [0.685, 0.482, 0.596], [0.411, 0.297, 0.315], [0.797, 0.482, 0.386], [0.685, 0.203, 0.589], [0.703, 0.589, 0.185], [0.203, 0.685, 0.089], [0.411, 0.114, 0.596], [0.518, 0.203, 0.114], [0.596, 0.982, 0.685], [0.018, 0.404, 0.815], [0.815, 0.911, 0.297]], "m_tot_mub_per_fu": 1.80, "volume_a3_per_cell": 1995, "n_ef_per_ev_atom": 0.89, "e_form_raw_kj_per_mol_atoms": -154.6}


{"formula": "ErScSn2", "functional": "PBE-GGA", "state": "optimized geometry", "cell": [[-2.026, -0.140, -3.045], [1.601, -0.591, -3.238], [-1.182, -9.075, -0.996]], "species": ["Sn", "Sn", "Er", "Sc"], "fractional_positions": [[0.253, 0.253, 0.240], [0.747, 0.747, 0.760], [0.500, 0.500, 0.500], [0.000, 0.000, 0.000]], "m_tot_mub_per_fu": 0.00, "volume_a3_per_cell": 104, "n_ef_per_ev_atom": 0.41, "formation_enthalpy_0k_ev_per_atom": -0.48, "relative_energy_mev_per_atom": 136}


{"formula": "Er8Te2C3", "functional": "PBE-GGA", "state": "optimized geometry", "cell": [[5.997, 0.141, -2.009], [-1.157, 6.732, -2.981], [0.348, -0.456, 8.150]], "species": ["Er", "Er", "Er", "Er", "Er", "Er", "Er", "Er", "Te", "Te", "C", "C", "C"], "fractional_positions": [[0.760, 0.905, 0.811], [0.225, 0.596, 0.193], [0.737, 0.331, 0.185], [0.263, 0.669, 0.815], [0.263, 0.146, 0.815], [0.240, 0.095, 0.189], [0.737, 0.854, 0.185], [0.775, 0.404, 0.807], [0.013, 0.251, 0.502], [0.987, 0.749, 0.498], [0.000, 0.254, 0.000], [0.500, 0.000, 0.000], [0.000, 0.746, 0.000]], "m_tot_mub_per_fu": 1.35, "volume_a3_per_cell": 326, "n_ef_per_ev_atom": 0.83, "e_form_raw_kj_per_mol_atoms": -53.0, "relative_energy_mev_per_atom": 0}


{"formula": "Li2Nd2ThSn2", "functional": "PBE-GGA", "state": "optimized geometry", "cell": [[4.854, 0.000, 0.000], [2.427, 4.204, 0.000], [2.427, 1.401, 9.193]], "species": ["Th", "Sn", "Sn", "Li", "Li", "Nd", "Nd"], "fractional_positions": [[0.000, 0.000, 0.000], [0.266, 0.266, 0.203], [0.734, 0.734, 0.797], [0.403, 0.403, 0.790], [0.597, 0.597, 0.210], [0.871, 0.871, 0.386], [0.129, 0.129, 0.614]], "m_tot_mub_per_fu": 0.00, "volume_a3_per_cell": 188, "n_ef_per_ev_atom": 0.64, "formation_enthalpy_0k_ev_per_atom": -0.40}


{"formula": "Na3Br2O", "functional": "PBE-GGA", "state": "optimized geometry", "cell": [[-5.143, -3.833, 2.879], [-0.616, -3.369, -5.584], [4.412, -3.172, 3.658]], "species": ["O", "O", "Br", "Br", "Br", "Br", "Na", "Na", "Na", "Na", "Na", "Na"], "fractional_positions": [[0.250, 0.902, 0.902], [0.750, 0.098, 0.098], [0.750, 0.851, 0.489], [0.250, 0.511, 0.149], [0.750, 0.489, 0.851], [0.250, 0.149, 0.511], [0.000, 0.861, 0.139], [0.500, 0.139, 0.861], [0.750, 0.386, 0.386], [0.000, 0.139, 0.861], [0.500, 0.861, 0.139], [0.250, 0.614, 0.614]], "m_tot_mub_per_fu": 1.00, "volume_a3_per_cell": 289, "e_form_raw_kj_per_mol_atoms": -114.8}


{"formula": "Nd2ZnNi12B3", "functional": "PBE-GGA", "state": "optimized geometry", "cell": [[6.788, -0.228, -0.161], [3.154, 6.014, -0.161], [3.154, 1.836, 5.730]], "species": ["Ni", "Ni", "Ni", "Ni", "Ni", "Ni", "Ni", "Ni", "Ni", "Ni", "Ni", "Ni", "B", "B", "B", "Nd", "Nd", "Zn"], "fractional_positions": [[0.408, 0.868, 0.868], [0.277, 0.277, 0.885], [0.115, 0.723, 0.723], [0.277, 0.885, 0.277], [0.868, 0.408, 0.868], [0.723, 0.115, 0.723], [0.592, 0.132, 0.132], [0.132, 0.592, 0.132], [0.885, 0.277, 0.277], [0.132, 0.132, 0.592], [0.868, 0.868, 0.408], [0.723, 0.723, 0.115], [0.500, 0.000, 0.000], [0.000, 0.500, 0.000], [0.000, 0.000, 0.500], [0.400, 0.400, 0.400], [0.600, 0.600, 0.600], [0.000, 0.000, 0.000]], "m_tot_mub_per_fu": 0.00, "volume_a3_per_cell": 242, "n_ef_per_ev_atom": 0.58, "formation_enthalpy_0k_ev_per_atom": -0.03}


{"formula": "CaTb2TmAs4", "functional": "PBE-GGA", "state": "optimized geometry", "cell": [[4.131, 0.000, 0.000], [0.000, 7.171, -0.145], [0.000, 2.520, 6.743]], "species": ["Tm", "As", "As", "As", "As", "Tb", "Tb", "Ca"], "fractional_positions": [[0.000, 0.500, 0.500], [0.000, 0.246, 0.258], [0.500, 0.251, 0.744], [0.000, 0.754, 0.742], [0.500, 0.749, 0.256], [0.500, 0.000, 0.500], [0.000, 0.000, 0.000], [0.500, 0.500, 0.000]], "m_tot_mub_per_fu": 0.00, "volume_a3_per_cell": 201, "n_ef_per_ev_atom": 0.47, "formation_enthalpy_0k_ev_per_atom": -1.36}


{"formula": "YMnMo2", "functional": "PBE-GGA", "state": "optimized geometry", "cell": [[5.456, 0.006, -0.002], [4.542, 3.022, -0.002], [1.954, 0.592, 4.133]], "species": ["Mo", "Mo", "Mn", "Y"], "fractional_positions": [[0.978, 0.978, 0.022], [0.522, 0.522, 0.478], [0.250, 0.250, 0.250], [0.750, 0.750, 0.750]], "m_tot_mub_per_fu": 0.00, "volume_a3_per_cell": 68, "n_ef_per_ev_atom": 0.72, "formation_enthalpy_0k_ev_per_atom": 0.36, "relative_energy_mev_per_atom": 112}


{"formula": "BaLi2Hg", "functional": "PBE-GGA", "state": "optimized geometry", "cell": [[-2.264, 5.566, -1.658], [-6.109, -0.337, -1.190], [4.241, -0.859, 4.487]], "species": ["Hg", "Li", "Li", "Ba"], "fractional_positions": [[0.250, 0.750, 0.500], [0.052, 0.052, 0.000], [0.448, 0.448, 0.000], [0.750, 0.250, 0.500]], "m_tot_mub_per_fu": 0.00, "volume_a3_per_cell": 119, "n_ef_per_ev_atom": 0.57, "formation_enthalpy_0k_ev_per_atom": -0.18}